[1]
The following is a PBE calculation of PrSm2Y2Tm after structural relaxation, from Alexandria via LeMat-Bulk.

Calculated values
DOS at the Fermi energy   1.574 states/eV per atom
Theoretical density   6.473 g/cm3
Space group   Pnnm, No. 58
Volume   404.5 Å³/cell
Formation enthalpy at 0 K   0.258 eV per atom
Size of the total moment   0.00 μB per cell

a b c (Å): 3.433 6.591 17.880
angles (deg): 90.00 90.00 90.00
Fractional coordinates of all 12 atoms:
Sm 0.000 0.719 0.148
Sm 0.500 0.781 0.648
Sm 0.500 0.219 0.352
Sm 0.000 0.281 0.852
Pr 0.500 0.500 0.500
Pr 0.000 0.000 0.000
Y 0.500 0.723 0.315
Y 0.000 0.223 0.185
Y 0.000 0.777 0.815
Y 0.500 0.277 0.685
Tm 0.000 0.000 0.500
Tm 0.500 0.500 0.000

[2]
The following is a PBE calculation of Pr3Sm6YTm2 after structural relaxation, from Alexandria via LeMat-Bulk.

Calculated values
DOS at the Fermi energy   1.402 states/eV per atom
Theoretical density   7.203 g/cm3
Space group   C2/m, No. 12
Volume   403.8 Å³/cell
Formation enthalpy at 0 K   0.020 eV per atom
Size of the total moment   0.00 μB per cell

a b c (Å): 6.284 6.284 11.994
angles (deg): 95.01 95.01 120.01
Fractional coordinates of all 12 atoms:
Pr 0.167 0.833 0.500
Pr 0.500 0.500 0.500
Pr 0.833 0.167 0.500
Sm 0.416 0.082 0.244
Sm 0.584 0.918 0.756
Sm 0.918 0.584 0.756
Sm 0.747 0.747 0.244
Sm 0.253 0.253 0.756
Sm 0.082 0.416 0.244
Y 0.000 0.000 0.000
Tm 0.333 0.667 0.000
Tm 0.667 0.333 0.000

[3]
The following is a PBE calculation of PrSm2Y6Tm2 after structural relaxation, from Alexandria via LeMat-Bulk.

Calculated values
DOS at the Fermi energy   1.583 states/eV per atom
Theoretical density   5.949 g/cm3
Space group   C2/m, No. 12
Volume   366.5 Å³/cell
Formation enthalpy at 0 K   0.154 eV per atom
Size of the total moment   0.00 μB per cell

a b c (Å): 6.655 6.655 12.107
angles (deg): 101.57 101.57 129.31
Fractional coordinates of all 11 atoms:
Pr 0.000 0.000 0.500
Y 0.134 0.444 0.788
Y 0.287 0.287 0.288
Y 0.866 0.556 0.212
Y 0.556 0.866 0.212
Y 0.713 0.713 0.712
Y 0.444 0.134 0.788
Sm 0.136 0.864 0.000
Sm 0.864 0.136 0.000
Tm 0.300 0.700 0.500
Tm 0.700 0.300 0.500